PBE-GGA RbPrZnTe3, optimized geometry; crystal system = monoclinic; electronic total energy = -3.811 eV/atom; energy above the most stable polymorph in this dataset = 19 meV/atom
1.0
-4.8204 -2.2312 8.2529
3.2880 -2.8949 1.1378
6.6993 8.4080 2.0333
Pr Rb Te Zn
2 2 6 2
Cartesian
0.9772 -0.9237 8.3295
4.1896 4.2055 3.0945
2.7424 -0.8085 3.5219
2.4245 4.0903 7.9021
-0.6234 -3.3666 6.7394
2.9114 2.0191 1.2253
0.3968 0.9669 5.8145
4.7699 2.3149 5.6095
2.2554 1.2627 10.1987
5.7902 6.6484 4.6846
-1.2229 -1.0707 5.3111
6.3897 4.3525 6.1129